# 1
Material: FePt2W
Method: DFT, SCAN
State: single point on PBEsol structure

```
4
Lattice="2.709 0.000 0.000 0.000 3.925 0.000 0.000 0.000 5.331" Properties=species:S:1:pos:R:3 pbc="T T T"
Fe 0.000 0.000 0.000
Pt 1.355 1.963 1.318
Pt 1.355 1.963 4.013
W 0.000 0.000 2.665
```

Energy of formation   -338 meV per atom
Space group   No. 47
Calculated density   18450 kg/m³
Crystal system   orthorhombic
Total magnetic moment   0.79 μB per atom
DFT total energy   -57.39 eV/atom


# 2
Material: FePt2W
Method: DFT, SCAN
State: single point on PBEsol structure

```
4
Lattice="4.499 -1.354 0.000 4.499 1.354 0.000 -0.852 0.000 4.680" Properties=species:S:1:pos:R:3 pbc="T T T"
Fe 0.000 0.000 0.000
Pt 4.116 0.000 2.378
Pt 6.535 0.000 1.025
W 1.689 0.000 3.422
```

Energy of formation   -271 meV per atom
Space group   No. 8
Calculated density   18341 kg/m³
Crystal system   monoclinic
Total magnetic moment   0.76 μB per atom
DFT total energy   -57.32 eV/atom


# 3
Material: YFePt4
Method: DFT, SCAN
State: single point on PBEsol structure

```
6
Lattice="0.000 3.708 3.708 3.708 0.000 3.708 3.708 3.708 0.000" Properties=species:S:1:pos:R:3 pbc="T T T"
Y 0.000 0.000 0.000
Fe 1.854 1.854 1.854
Pt 4.630 2.786 2.786
Pt 2.786 4.630 2.786
Pt 2.786 2.786 4.630
Pt 4.630 4.630 4.630
```

Energy of formation   -694 meV per atom
Space group   No. 216
Calculated density   15067 kg/m³
Crystal system   cubic
Total magnetic moment   0.61 μB per atom
DFT total energy   -55.15 eV/atom


# 4
Material: Zn2FePt
Method: DFT, SCAN
State: single point on PBEsol structure

```
4
Lattice="2.663 -3.669 0.000 2.663 3.669 0.000 0.000 0.000 2.714" Properties=species:S:1:pos:R:3 pbc="T T T"
Zn 1.331 1.834 0.000
Zn 1.331 -1.834 0.000
Fe 0.000 0.000 1.357
Pt 2.663 0.000 1.357
```

Energy of formation   -258 meV per atom
Space group   No. 65
Calculated density   11957 kg/m³
Crystal system   orthorhombic
Total magnetic moment   0.67 μB per atom
DFT total energy   -29.10 eV/atom


# 5
Material: ZnFePt2
Method: DFT, SCAN
State: single point on PBEsol structure

```
4
Lattice="2.755 0.000 0.000 0.000 4.408 0.000 0.000 0.000 4.530" Properties=species:S:1:pos:R:3 pbc="T T T"
Zn 0.000 0.000 0.000
Fe 0.000 2.204 2.810
Pt 1.377 0.000 2.283
Pt 1.377 2.204 0.512
```

Energy of formation   -453 meV per atom
Space group   No. 25
Calculated density   15439 kg/m³
Crystal system   orthorhombic
Total magnetic moment   0.92 μB per atom
DFT total energy   -43.46 eV/atom


# 6
Material: Zn2FePt
Method: DFT, SCAN
State: single point on PBEsol structure

```
4
Lattice="4.307 -1.355 0.000 4.307 1.355 0.000 -0.863 0.000 4.557" Properties=species:S:1:pos:R:3 pbc="T T T"
Zn 1.929 0.000 1.106
Zn 5.821 0.000 3.452
Fe 4.307 0.000 0.000
Pt -0.431 0.000 2.279
```

Energy of formation   -299 meV per atom
Space group   No. 12
Calculated density   11919 kg/m³
Crystal system   monoclinic
Total magnetic moment   0.75 μB per atom
DFT total energy   -29.14 eV/atom


# 7
Material: ZnFePt2
Method: DFT, SCAN
State: single point on PBEsol structure

```
4
Lattice="2.753 0.000 0.000 0.000 3.599 0.000 0.000 0.000 5.542" Properties=species:S:1:pos:R:3 pbc="T T T"
Zn 0.000 0.000 0.000
Fe 0.000 0.000 2.771
Pt 1.376 1.799 1.405
Pt 1.376 1.799 4.138
```

Energy of formation   -526 meV per atom
Space group   No. 47
Calculated density   15469 kg/m³
Crystal system   orthorhombic
Total magnetic moment   0.95 μB per atom
DFT total energy   -43.53 eV/atom


# 8
Material: ZnFePt2
Method: DFT, SCAN
State: single point on PBEsol structure

```
4
Lattice="2.790 -3.561 0.000 2.790 3.561 0.000 0.000 0.000 2.761" Properties=species:S:1:pos:R:3 pbc="T T T"
Zn 0.000 0.000 0.000
Fe 2.790 0.000 0.000
Pt 1.395 1.780 1.381
Pt 1.395 -1.780 1.381
```

Energy of formation   -504 meV per atom
Space group   No. 65
Calculated density   15475 kg/m³
Crystal system   orthorhombic
Total magnetic moment   0.93 μB per atom
DFT total energy   -43.51 eV/atom


# 9
Material: Zr2FePt
Method: DFT, SCAN
State: single point on PBEsol structure

```
4
Lattice="3.236 0.000 0.000 0.000 3.236 0.000 0.000 0.000 6.454" Properties=species:S:1:pos:R:3 pbc="T T T"
Zr 0.000 0.000 1.524
Zr 0.000 0.000 4.930
Fe 1.618 1.618 0.000
Pt 1.618 1.618 3.227
```

Energy of formation   -723 meV per atom
Space group   No. 123
Calculated density   10649 kg/m³
Crystal system   tetragonal
Total magnetic moment   0.26 μB per atom
DFT total energy   -38.15 eV/atom


# 10
Material: ZrFePt2
Method: DFT, SCAN
State: single point on PBEsol structure

```
4
Lattice="0.000 3.174 3.174 3.174 0.000 3.174 3.174 3.174 0.000" Properties=species:S:1:pos:R:3 pbc="T T T"
Zr 0.000 0.000 0.000
Fe 3.174 3.174 3.174
Pt 1.587 1.587 1.587
Pt 4.761 4.761 4.761
```

Energy of formation   -715 meV per atom
Space group   No. 225
Calculated density   13953 kg/m³
Crystal system   cubic
Total magnetic moment   0.88 μB per atom
DFT total energy   -48.02 eV/atom


# 11
Material: ZrFePt
Method: DFT, SCAN
State: single point on PBEsol structure

```
3
Lattice="-1.450 1.450 5.590 1.450 -1.450 5.590 1.450 1.450 -5.590" Properties=species:S:1:pos:R:3 pbc="T T T"
Zr 0.000 0.000 0.000
Fe 0.000 0.000 3.668
Pt 0.000 0.000 7.672
```

Energy of formation   -469 meV per atom
Space group   No. 107
Calculated density   12088 kg/m³
Crystal system   tetragonal
Total magnetic moment   0.99 μB per atom
DFT total energy   -40.14 eV/atom


# 12
Material: RbFe2Re
Method: DFT, SCAN
State: single point on PBEsol structure

```
4
Lattice="0.000 3.143 3.143 3.143 0.000 3.143 3.143 3.143 0.000" Properties=species:S:1:pos:R:3 pbc="T T T"
Rb 0.000 0.000 0.000
Fe 1.571 1.571 1.571
Fe 4.714 4.714 4.714
Re 3.143 3.143 3.143
```

Energy of formation   1956 meV per atom
Space group   No. 225
Calculated density   10254 kg/m³
Crystal system   cubic
Total magnetic moment   1.03 μB per atom
DFT total energy   -30.07 eV/atom


# 13
Material: RbFeRh3
Method: DFT, SCAN
State: single point on PBEsol structure

```
5
Lattice="4.566 0.000 0.000 0.000 4.566 0.000 0.000 0.000 4.566" Properties=species:S:1:pos:R:3 pbc="T T T"
Rb 0.000 0.000 0.000
Fe 2.283 2.283 2.283
Rh 0.000 2.283 2.283
Rh 2.283 0.000 2.283
Rh 2.283 2.283 0.000
```

Energy of formation   961 meV per atom
Space group   No. 221
Calculated density   7849 kg/m³
Crystal system   cubic
Total magnetic moment   0.98 μB per atom
DFT total energy   -27.08 eV/atom


# 14
Material: RbFeRuS2
Method: DFT, SCAN
State: single point on PBEsol structure

```
5
Lattice="4.572 0.000 0.000 0.000 4.572 0.000 0.000 0.000 4.747" Properties=species:S:1:pos:R:3 pbc="T T T"
Rb 0.000 0.000 0.000
Fe 2.286 2.286 2.373
Ru 2.286 2.286 0.000
S 0.000 2.286 2.373
S 2.286 0.000 2.373
```

Space group   No. 123
Calculated density   5130 kg/m³
Crystal system   tetragonal
Total magnetic moment   1.21 μB per atom
DFT total energy   -18.27 eV/atom
ΔE_f (raw)   0.32 eV/atom


# 15
Material: RbFeTc2Ru
Method: DFT, SCAN
State: single point on PBEsol structure

```
5
Lattice="4.502 0.000 0.000 0.000 4.502 0.000 0.000 0.000 4.561" Properties=species:S:1:pos:R:3 pbc="T T T"
Rb 0.000 0.000 0.000
Fe 2.251 2.251 2.281
Tc 0.000 2.251 2.281
Tc 2.251 0.000 2.281
Ru 2.251 2.251 0.000
```

Energy of formation   1694 meV per atom
Space group   No. 123
Calculated density   7875 kg/m³
Crystal system   tetragonal
Total magnetic moment   0.57 μB per atom
DFT total energy   -27.07 eV/atom


# 16
Material: RbZr2FeRu
Method: DFT, SCAN
State: single point on PBEsol structure

```
5
Lattice="4.734 0.000 0.000 0.000 4.734 0.000 0.000 0.000 4.749" Properties=species:S:1:pos:R:3 pbc="T T T"
Rb 0.000 0.000 0.000
Zr 0.000 2.367 2.374
Zr 2.367 0.000 2.374
Fe 0.000 0.000 2.374
Ru 2.367 2.367 0.000
```

Energy of formation   1495 meV per atom
Space group   No. 123
Calculated density   6628 kg/m³
Crystal system   tetragonal
Total magnetic moment   0.00 μB per atom
DFT total energy   -25.52 eV/atom


# 17
Material: RbFeS2
Method: DFT, SCAN
State: single point on PBEsol structure

```
8
Lattice="3.516 -5.701 0.000 3.516 5.701 0.000 -1.846 0.000 4.763" Properties=species:S:1:pos:R:3 pbc="T T T"
Rb 2.131 4.063 3.572
Rb 3.054 -4.063 1.191
Fe 3.054 -0.004 1.191
Fe 2.131 0.004 3.572
S 0.552 1.190 4.334
S 1.476 -1.190 1.953
S 3.710 1.190 2.811
S 4.633 -1.190 0.429
```

Space group   No. 15
Calculated density   3573 kg/m³
Crystal system   monoclinic
Total magnetic moment   0.75 μB per atom
DFT total energy   -15.41 eV/atom
ΔE_f (raw)   -0.88 eV/atom


# 18
Material: RbFeS2
Method: DFT, SCAN
State: single point on PBEsol structure

```
8
Lattice="-2.539 3.317 5.618 2.539 -3.317 5.618 2.539 3.317 -5.618" Properties=species:S:1:pos:R:3 pbc="T T T"
Rb 0.000 0.000 1.919
Rb 0.000 0.000 9.318
Fe 1.272 3.317 0.000
Fe 1.267 0.000 5.618
S 2.539 1.630 0.000
S 2.539 0.000 3.923
S 0.000 3.317 1.695
S 0.000 1.687 5.618
```

Space group   No. 71
Calculated density   3605 kg/m³
Crystal system   orthorhombic
Total magnetic moment   0.74 μB per atom
DFT total energy   -15.41 eV/atom
ΔE_f (raw)   -0.88 eV/atom


# 19
Material: Rb4Fe2S5
Method: DFT, SCAN
State: single point on PBEsol structure

```
22
Lattice="7.345 0.000 0.000 1.374 8.232 0.000 1.064 1.997 9.948" Properties=species:S:1:pos:R:3 pbc="T T T"
Rb 0.835 1.409 2.548
Rb 2.729 5.471 3.657
Rb 5.132 8.479 9.837
Rb 4.837 8.007 5.798
Rb 4.946 2.222 4.149
Rb 4.651 1.750 0.111
Rb 7.054 4.758 6.290
Rb 8.949 8.820 7.400
Fe 2.175 5.228 9.007
Fe 3.026 3.374 7.211
Fe 6.758 6.855 2.737
Fe 7.608 5.001 0.941
S 1.786 3.113 9.029
S 1.965 2.690 5.397
S 2.115 3.925 0.818
S 3.374 5.567 7.241
S 4.873 7.985 2.564
S 4.910 2.244 7.384
S 6.410 4.662 2.706
S 7.669 6.304 9.130
S 7.819 7.538 4.551
S 7.997 7.116 0.918
```

Space group   No. 2
Calculated density   3390 kg/m³
Crystal system   triclinic
Total magnetic moment   0.64 μB per atom
DFT total energy   -16.26 eV/atom
ΔE_f (raw)   -1.05 eV/atom


# 20
Material: RbFe3S
Method: DFT, SCAN
State: single point on PBEsol structure

```
5
Lattice="4.541 0.000 0.000 0.000 4.541 0.000 0.000 0.000 4.541" Properties=species:S:1:pos:R:3 pbc="T T T"
Rb 0.000 0.000 0.000
Fe 0.000 0.000 2.270
Fe 0.000 2.270 0.000
Fe 2.270 0.000 0.000
S 2.270 2.270 2.270
```

Space group   No. 221
Calculated density   5056 kg/m³
Crystal system   cubic
Total magnetic moment   1.53 μB per atom
DFT total energy   -14.25 eV/atom
ΔE_f (raw)   2.70 eV/atom


# 21
Material: Rb3FeSb
Method: DFT, SCAN
State: single point on PBEsol structure

```
5
Lattice="6.920 0.000 0.000 0.000 6.920 0.000 0.000 0.000 6.920" Properties=species:S:1:pos:R:3 pbc="T T T"
Rb 0.000 0.000 3.460
Rb 0.000 3.460 0.000
Rb 3.460 0.000 0.000
Fe 3.460 3.460 3.460
Sb 0.000 0.000 0.000
```

Space group   No. 221
Calculated density   2175 kg/m³
Crystal system   cubic
Total magnetic moment   0.80 μB per atom
DFT total energy   -22.92 eV/atom
ΔE_f (raw)   0.61 eV/atom


# 22
Material: Rb2ScFe
Method: DFT, SCAN
State: single point on PBEsol structure

```
4
Lattice="0.000 4.185 4.185 4.185 0.000 4.185 4.185 4.185 0.000" Properties=species:S:1:pos:R:3 pbc="T T T"
Rb 2.093 2.093 2.093
Rb 6.278 6.278 6.278
Sc 0.000 0.000 0.000
Fe 4.185 4.185 4.185
```

Energy of formation   1289 meV per atom
Space group   No. 225
Calculated density   3078 kg/m³
Crystal system   cubic
Total magnetic moment   0.36 μB per atom
DFT total energy   -17.17 eV/atom


# 23
Material: RbFeSe3
Method: DFT, SCAN
State: single point on PBEsol structure

```
5
Lattice="5.499 0.000 0.000 0.000 5.499 0.000 0.000 0.000 5.499" Properties=species:S:1:pos:R:3 pbc="T T T"
Rb 0.000 0.000 0.000
Fe 2.750 2.750 2.750
Se 0.000 0.000 2.750
Se 0.000 2.750 0.000
Se 2.750 0.000 0.000
```

Space group   No. 221
Calculated density   3776 kg/m³
Crystal system   cubic
Total magnetic moment   0.77 μB per atom
DFT total energy   -18.29 eV/atom
ΔE_f (raw)   1.53 eV/atom


# 24
Material: Rb3FeSe
Method: DFT, SCAN
State: single point on PBEsol structure

```
5
Lattice="5.996 0.000 0.000 0.000 5.996 0.000 0.000 0.000 5.996" Properties=species:S:1:pos:R:3 pbc="T T T"
Rb 0.000 0.000 2.998
Rb 0.000 2.998 0.000
Rb 2.998 0.000 0.000
Fe 0.000 0.000 0.000
Se 2.998 2.998 2.998
```

Space group   No. 221
Calculated density   3013 kg/m³
Crystal system   cubic
Total magnetic moment   0.60 μB per atom
DFT total energy   -19.73 eV/atom
ΔE_f (raw)   0.35 eV/atom


# 25
Material: RbFe2Se3
Method: DFT, SCAN
State: single point on PBEsol structure

```
12
Lattice="4.528 -5.668 0.000 4.528 5.668 0.000 0.000 0.000 5.298" Properties=species:S:1:pos:R:3 pbc="T T T"
Rb 4.528 3.704 3.973
Rb 4.528 -3.704 1.324
Fe 3.243 0.000 0.000
Fe 3.243 0.000 2.649
Fe 5.812 0.000 0.000
Fe 5.812 0.000 2.649
Se 1.959 1.246 3.973
Se 1.959 -1.246 1.324
Se 4.528 1.342 1.324
Se 4.528 -1.342 3.973
Se 7.097 1.246 3.973
Se 7.097 -1.246 1.324
```

Space group   No. 63
Calculated density   5301 kg/m³
Crystal system   orthorhombic
Total magnetic moment   0.39 μB per atom
DFT total energy   -20.05 eV/atom
ΔE_f (raw)   -0.51 eV/atom


# 26
Material: RbTaFe3
Method: DFT, SCAN
State: single point on PBEsol structure

```
5
Lattice="4.328 0.000 0.000 0.000 4.328 0.000 0.000 0.000 4.328" Properties=species:S:1:pos:R:3 pbc="T T T"
Rb 0.000 0.000 0.000
Ta 2.164 2.164 2.164
Fe 0.000 0.000 2.164
Fe 0.000 2.164 0.000
Fe 2.164 0.000 0.000
```

Energy of formation   2950 meV per atom
Space group   No. 221
Calculated density   8890 kg/m³
Crystal system   cubic
Total magnetic moment   1.05 μB per atom
DFT total energy   -25.39 eV/atom


# 27
Material: RbFeTe3
Method: DFT, SCAN
State: single point on PBEsol structure

```
5
Lattice="5.253 0.000 0.000 0.000 5.253 0.000 0.000 0.000 5.253" Properties=species:S:1:pos:R:3 pbc="T T T"
Rb 0.000 0.000 0.000
Fe 2.626 2.626 2.626
Te 0.000 2.626 2.626
Te 2.626 0.000 2.626
Te 2.626 2.626 0.000
```

Space group   No. 221
Calculated density   6006 kg/m³
Crystal system   cubic
Total magnetic moment   0.72 μB per atom
DFT total energy   -30.31 eV/atom
ΔE_f (raw)   -0.19 eV/atom


# 28
Material: FeRe
Method: DFT, SCAN
State: single point on PBEsol structure

```
2
Lattice="2.627 0.000 0.000 0.000 2.627 0.000 0.000 0.000 3.556" Properties=species:S:1:pos:R:3 pbc="T T T"
Fe 0.000 0.000 0.000
Re 1.314 1.314 1.778
```

Energy of formation   222 meV per atom
Space group   No. 123
Calculated density   16378 kg/m³
Crystal system   tetragonal
Total magnetic moment   0.01 μB per atom
DFT total energy   -44.39 eV/atom